# 1
Rb2TcI6 after structural relaxation, computed with PBEsol.

a b c (Å): 7.9014 7.9014 7.9014
angles (deg): 60.00 60.00 60.00
Fractional positions:
Rb 0.2500 0.2500 0.2500
Rb 0.7500 0.7500 0.7500
Tc 0.0000 0.0000 0.0000
I 0.2426 0.2426 0.7574
I 0.2426 0.7574 0.2426
I 0.2426 0.7574 0.7574
I 0.7574 0.2426 0.2426
I 0.7574 0.2426 0.7574
I 0.7574 0.7574 0.2426

V, A^3/atom: 38.8
Size of the total moment, μB per cell: 3.060
Formation energy (no corrections), kJ/mol of atoms: -67.9
Crystal system: cubic


# 2
RbTc2I2 after structural relaxation, computed with PBEsol.

a b c (Å): 7.4608 7.4608 7.4608
angles (deg): 146.07 146.07 48.75
Fractional positions:
Rb 0.0000 0.0000 0.0000
Tc 0.2500 0.7500 0.5000
Tc 0.7500 0.2500 0.5000
I 0.3523 0.3523 0.0000
I 0.6477 0.6477 0.0000

V, A^3/atom: 25.8
Size of the total moment, μB per cell: 0.000
DOS(E_F), states/eV per cell: 3.13
Formation energy (no corrections), kJ/mol of atoms: 36.5
Crystal system: tetragonal


# 3
Rb2TiTcI after structural relaxation, computed with PBEsol.

a b c (Å): 6.7597 6.7597 5.0507
angles (deg): 90.00 90.00 90.00
Fractional positions:
Rb 0.0000 0.5000 0.0000
Rb 0.5000 0.0000 0.0000
Ti 0.0000 0.0000 0.5000
Tc 0.5000 0.5000 0.5000
I 0.5000 0.5000 0.0000

V, A^3/atom: 46.2
Size of the total moment, μB per cell: 5.556
DOS(E_F), states/eV per cell: 11.92
Formation energy (no corrections), kJ/mol of atoms: 138.2
Crystal system: tetragonal


# 4
Rb2TeI6 after structural relaxation, computed with PBEsol.

a b c (Å): 7.8558 7.8558 12.1734
angles (deg): 90.00 90.00 90.00
Fractional positions:
Rb 0.0000 0.5000 0.2500
Rb 0.0000 0.5000 0.7500
Rb 0.5000 0.0000 0.2500
Rb 0.5000 0.0000 0.7500
Te 0.0000 0.0000 0.0000
Te 0.5000 0.5000 0.5000
I 0.0000 0.0000 0.2419
I 0.0000 0.0000 0.7581
I 0.1881 0.2930 0.5000
I 0.2070 0.3119 0.0000
I 0.2930 0.8119 0.5000
I 0.3119 0.7930 0.0000
I 0.5000 0.5000 0.2581
I 0.5000 0.5000 0.7419
I 0.6881 0.2070 0.0000
I 0.7070 0.1881 0.5000
I 0.7930 0.6881 0.0000
I 0.8119 0.7070 0.5000

V, A^3/atom: 41.7
Size of the total moment, μB per cell: 0.000
Formation energy (no corrections), kJ/mol of atoms: -73.4
Crystal system: tetragonal


# 5
RbTeI3 after structural relaxation, computed with PBEsol.

a b c (Å): 6.0939 6.0939 6.0939
angles (deg): 90.00 90.00 90.00
Fractional positions:
Rb 0.0000 0.0000 0.0000
Te 0.5000 0.5000 0.5000
I 0.0000 0.5000 0.5000
I 0.5000 0.0000 0.5000
I 0.5000 0.5000 0.0000

V, A^3/atom: 45.3
Size of the total moment, μB per cell: 0.001
DOS(E_F), states/eV per cell: 2.79
Formation energy (no corrections), kJ/mol of atoms: -59.4
Crystal system: cubic


# 6
RbYTeI2 after structural relaxation, computed with PBEsol.

a b c (Å): 6.0143 6.0143 5.8273
angles (deg): 90.00 90.00 90.00
Fractional positions:
Rb 0.0000 0.0000 0.0000
Y 0.5000 0.5000 0.5000
Te 0.5000 0.5000 0.0000
I 0.0000 0.5000 0.5000
I 0.5000 0.0000 0.5000

V, A^3/atom: 42.2
Size of the total moment, μB per cell: 0.000
Formation energy (no corrections), kJ/mol of atoms: -123.7
Crystal system: tetragonal